(1)
# EuSc2

A relaxed structure of EuSc2 (GGA-PBE, Alexandria via LeMat-Bulk).

Summary:
The calculation puts the total magnetization at 6.90 μB per formula unit. As for the density: 4.6 g cm⁻³. Its total energy is -0.276 hartree per atom. The energy of formation comes out at 0.14 eV/atom. As for the energy above the most stable polymorph in this dataset: 0 meV per atom.

Lattice parameters (Å, degrees): 3.4891 3.4891 14.1914 90.00 90.00 90.00
Space group I4/mmm (No. 139)
Asymmetric unit:
Eu (0.0000, 0.0000, 0.0000) x2
Sc (0.0000, 0.0000, 0.3198) x4

=====

(2)
# EuScSe2

A relaxed structure of EuScSe2 (GGA-PBE, Alexandria via LeMat-Bulk).

Summary:
The calculation puts the total magnetization at 6.92 μB per formula unit. As for the formation energy without anion corrections: -1799 meV/atom. As for the density: 6.1 g cm⁻³. Its total energy is -0.283 hartree per atom.

Lattice parameters (Å, degrees): 4.0491 4.0491 20.2745 90.00 90.00 120.00
Space group R-3m (No. 166, hexagonal axes)
Asymmetric unit:
Eu (0.0000, 0.0000, 0.0000) x3
Sc (0.0000, 0.0000, 0.5000) x3
Se (0.0000, 0.0000, 0.2410) x6

=====

(3)
# EuSc2Se4

A relaxed structure of EuSc2Se4 (GGA-PBE, Alexandria via LeMat-Bulk).

Summary:
The calculation puts the total magnetization at 6.99 μB per formula unit. As for the formation energy without anion corrections: -1817 meV/atom. As for the density: 5.4 g cm⁻³. Its total energy is -0.260 hartree per atom.

Lattice parameters (Å, degrees): 12.1663 3.9477 14.2778 90.00 90.00 90.00
Space group Pnma (No. 62)
Asymmetric unit:
Eu (0.2381, 0.2500, 0.1694) x4
Sc (0.0565, 0.2500, 0.3891) x4
Sc (0.0832, 0.2500, 0.9040) x4
Se (0.0305, 0.7500, 0.7851) x4
Se (0.0922, 0.2500, 0.5751) x4
Se (0.1261, 0.7500, 0.0312) x4
Se (0.2028, 0.7500, 0.3362) x4

=====

(4)
# SmEuSc2

A relaxed structure of SmEuSc2 (GGA-PBE, Alexandria via LeMat-Bulk).

Summary:
The calculation puts the total magnetization at 7.48 μB per formula unit. As for the density: 5.5 g cm⁻³. Its total energy is -0.249 hartree per atom. The energy of formation comes out at 0.13 eV/atom. As for the energy above the most stable polymorph in this dataset: 3 meV per atom.

Lattice parameters (Å, degrees): 3.4819 3.4819 33.7395 90.00 90.00 120.00
Space group R-3m (No. 166, hexagonal axes)
Asymmetric unit:
Sm (0.0000, 0.0000, 0.0000) x3
Eu (0.0000, 0.0000, 0.5000) x3
Sc (0.0000, 0.0000, 0.2528) x6

=====

(5)
# SmEu2Sc

A relaxed structure of SmEu2Sc (GGA-PBE, Alexandria via LeMat-Bulk).

Summary:
The calculation puts the total magnetization at 15.21 μB per formula unit. As for the density: 6.1 g cm⁻³. Its total energy is -0.284 hartree per atom. The energy of formation comes out at 0.17 eV/atom. As for the energy above the most stable polymorph in this dataset: 9 meV per atom.

Lattice parameters (Å, degrees): 5.0896 5.0896 5.2085 90.00 90.00 90.00
Space group P4/mmm (No. 123)
Asymmetric unit:
Sm (0.0000, 0.0000, 0.0000) x1
Eu (0.0000, 0.5000, 0.5000) x2
Sc (0.5000, 0.5000, 0.0000) x1

=====

(6)
# SmEuSc

A relaxed structure of SmEuSc (GGA-PBE, Alexandria via LeMat-Bulk).

Summary:
The calculation puts the total magnetization at 7.33 μB per formula unit. As for the density: 6.2 g cm⁻³. Its total energy is -0.256 hartree per atom. The energy of formation comes out at 0.15 eV/atom. As for the energy above the most stable polymorph in this dataset: 55 meV per atom.

Lattice parameters (Å, degrees): 5.6389 5.6389 3.4021 90.00 90.00 120.00
Space group P3m1 (No. 156)
Asymmetric unit:
Sm (0.0000, 0.0000, 0.0000) x1
Eu (0.6667, 0.3333, 0.4978) x1
Sc (0.3333, 0.6667, 0.5026) x1

=====

So what do the calculations give for V? Going down the list: 172.8 287.9 685.7 354.2 134.9 93.7 Å³ per cell.